No. 1
## BPt3Pb (GGA-PBE)

Data for BPt3Pb after structural relaxation.

The value obtained for the energy above the most stable polymorph in this dataset is 128.5 meV/atom.

The structure belongs to space group Pm-3m (No. 221); the cell edges are 4.373, 4.373 and 4.373 Å and the angles 90.00°, 90.00° and 90.00°. The inequivalent atoms are B at (0.000, 0.000, 0.000), Pt at (0.000, 0.000, 0.500) and Pb at (0.500, 0.500, 0.500).

No. 2
## BeNb3W (GGA-PBE)

Data for BeNb3W after structural relaxation.

The structure belongs to space group Pm-3m (No. 221); the cell edges are 4.408, 4.408 and 4.408 Å and the angles 90.00°, 90.00° and 90.00°. The inequivalent atoms are Be at (0.000, 0.000, 0.000), Nb at (0.000, 0.000, 0.500) and W at (0.500, 0.500, 0.500).

No. 3
## LiPbW4 (GGA-PBE)

Data for LiPbW4 after structural relaxation.

The structure belongs to space group F-43m (No. 216); the cell edges are 7.642, 7.642 and 7.642 Å and the angles 90.00°, 90.00° and 90.00°. The inequivalent atoms are Li at (0.000, 0.000, 0.000), Pb at (0.250, 0.250, 0.750) and W at (0.127, 0.127, 0.373).

Number 1: energy of formation from the pure elements -0.037 eV/atom, D(E_F) 0.8696 states/eV per atom, magnetization 0.000 μB/atom. Number 2: energy of formation from the pure elements 0.727 eV/atom, D(E_F) 0.9982 states/eV per atom, magnetization 0.000 μB/atom. Number 3: energy of formation from the pure elements 0.786 eV/atom, D(E_F) 0.9489 states/eV per atom, magnetization 0.000 μB/atom.